Entry 1:
DFT (PBE) results for an optimized crystal structure of CaLa3Os.

## Properties
Its total energy is -5.6679 eV/atom. The value obtained for the total magnetization is 0.0 Bohr magnetons per cell.

Geometry as CIF:
```
data_CaLa3Os
_chemical_formula_sum 'Ca4 La12 Os4'
_cell_length_a 12.9892
_cell_length_b 5.8081
_cell_length_c 11.0452
_cell_angle_alpha 90.00
_cell_angle_beta 116.19
_cell_angle_gamma 90.00
_symmetry_space_group_name_H-M 'C 1 2/m 1'
_symmetry_Int_Tables_number 12
loop_
_symmetry_equiv_pos_as_xyz
'x,y,z'
'-x,-y,-z'
'-x,y,-z'
'x,-y,z'
'x+1/2,y+1/2,z'
'-x+1/2,-y+1/2,-z'
'-x+1/2,y+1/2,-z'
'x+1/2,-y+1/2,z'
loop_
_atom_site_label
_atom_site_fract_x
_atom_site_fract_y
_atom_site_fract_z
Ca1 0.1195 0.0000 0.4353
La1 0.1169 0.5000 0.1832
La2 0.1259 0.5000 0.6774
La3 0.1330 0.0000 0.9384
Os1 0.1155 0.5000 0.9118
```


Entry 2:
DFT (PBE) results for an optimized crystal structure of CaLa3Os.

## Properties
Its total energy is -5.6969 eV/atom. The value obtained for the total magnetization is 0.0 Bohr magnetons per cell.

Geometry as CIF:
```
data_CaLa3Os
_chemical_formula_sum 'Ca1 La3 Os1'
_cell_length_a 5.7209
_cell_length_b 5.7209
_cell_length_c 5.7209
_cell_angle_alpha 90.00
_cell_angle_beta 90.00
_cell_angle_gamma 90.00
_symmetry_space_group_name_H-M 'P m -3 m'
_symmetry_Int_Tables_number 221
_symmetry_space_group_name_Hall '-P 4 2 3'
loop_
_atom_site_label
_atom_site_fract_x
_atom_site_fract_y
_atom_site_fract_z
Ca1 0.0000 0.0000 0.0000
La1 0.0000 0.5000 0.5000
Os1 0.5000 0.5000 0.5000
```


Entry 3:
DFT (PBE) results for an optimized crystal structure of CaLaOs2.

## Properties
Its total energy is -6.5114 eV/atom. The value obtained for the total magnetization is 0.0 Bohr magnetons per cell.

Geometry as CIF:
```
data_CaLaOs2
_chemical_formula_sum 'Ca4 La4 Os8'
_cell_length_a 7.9472
_cell_length_b 7.9472
_cell_length_c 5.5183
_cell_angle_alpha 90.00
_cell_angle_beta 90.00
_cell_angle_gamma 90.00
_symmetry_space_group_name_H-M 'I -4 2 d'
_symmetry_Int_Tables_number 122
_symmetry_space_group_name_Hall 'I -4 2bw'
loop_
_atom_site_label
_atom_site_fract_x
_atom_site_fract_y
_atom_site_fract_z
Ca1 0.0000 0.0000 0.0000
La1 0.0000 0.0000 0.5000
Os1 0.2488 0.2500 0.1250
```


Entry 4:
DFT (PBE) results for an optimized crystal structure of CaLaOs2.

## Properties
Its total energy is -6.7431 eV/atom. The value obtained for the total magnetization is 0.0 Bohr magnetons per cell.

Geometry as CIF:
```
data_CaLaOs2
_chemical_formula_sum 'Ca2 La2 Os4'
_cell_length_a 6.0980
_cell_length_b 9.3470
_cell_length_c 3.0170
_cell_angle_alpha 90.00
_cell_angle_beta 113.21
_cell_angle_gamma 90.00
_symmetry_space_group_name_H-M 'C 1 2/m 1'
_symmetry_Int_Tables_number 12
loop_
_symmetry_equiv_pos_as_xyz
'x,y,z'
'-x,-y,-z'
'-x,y,-z'
'x,-y,z'
'x+1/2,y+1/2,z'
'-x+1/2,-y+1/2,-z'
'-x+1/2,y+1/2,-z'
'x+1/2,-y+1/2,z'
loop_
_atom_site_label
_atom_site_fract_x
_atom_site_fract_y
_atom_site_fract_z
Ca1 0.0000 0.0000 0.0000
La1 0.0000 0.5000 0.0000
Os1 0.2500 0.2500 0.5000
```


Entry 5:
DFT (PBE) results for an optimized crystal structure of CaLaOs2.

## Properties
Its total energy is -6.7216 eV/atom. The value obtained for the total magnetization is 0.0 Bohr magnetons per cell.

Geometry as CIF:
```
data_CaLaOs2
_chemical_formula_sum 'Ca2 La2 Os4'
_cell_length_a 3.4117
_cell_length_b 5.0682
_cell_length_c 9.2343
_cell_angle_alpha 90.00
_cell_angle_beta 90.00
_cell_angle_gamma 90.00
_symmetry_space_group_name_H-M 'I m m m'
_symmetry_Int_Tables_number 71
_symmetry_space_group_name_Hall '-I 2 2'
loop_
_atom_site_label
_atom_site_fract_x
_atom_site_fract_y
_atom_site_fract_z
Ca1 0.0000 0.0000 0.0000
La1 0.0000 0.0000 0.5000
Os1 0.0000 0.5000 0.2436
```


Entry 6:
DFT (PBE) results for an optimized crystal structure of CaLa2Os.

## Properties
Its total energy is -5.7171 eV/atom. The value obtained for the total magnetization is 0.0 Bohr magnetons per cell.

Geometry as CIF:
```
data_CaLa2Os
_chemical_formula_sum 'Ca2 La4 Os2'
_cell_length_a 3.5632
_cell_length_b 5.0124
_cell_length_c 14.4732
_cell_angle_alpha 90.00
_cell_angle_beta 90.00
_cell_angle_gamma 90.00
_symmetry_space_group_name_H-M 'I m m 2'
_symmetry_Int_Tables_number 44
loop_
_symmetry_equiv_pos_as_xyz
'x,y,z'
'-x,-y,z'
'-x,y,z'
'x,-y,z'
'x+1/2,y+1/2,z+1/2'
'-x+1/2,-y+1/2,z+1/2'
'-x+1/2,y+1/2,z+1/2'
'x+1/2,-y+1/2,z+1/2'
loop_
_atom_site_label
_atom_site_fract_x
_atom_site_fract_y
_atom_site_fract_z
Ca1 0.0000 0.0000 0.0000
La1 0.0000 0.0000 0.6692
La2 0.0000 0.5000 0.8346
Os1 0.0000 0.5000 0.3232
```


Entry 7:
DFT (PBE) results for an optimized crystal structure of CaLaOs2.

## Properties
Its total energy is -6.6921 eV/atom. The value obtained for the total magnetization is 0.0 Bohr magnetons per cell.

Geometry as CIF:
```
data_CaLaOs2
_chemical_formula_sum 'Ca1 La1 Os2'
_cell_length_a 3.4231
_cell_length_b 4.6526
_cell_length_c 5.0402
_cell_angle_alpha 90.00
_cell_angle_beta 90.00
_cell_angle_gamma 90.00
_symmetry_space_group_name_H-M 'P m m m'
_symmetry_Int_Tables_number 47
loop_
_symmetry_equiv_pos_as_xyz
'x,y,z'
'-x,-y,-z'
'-x,-y,z'
'x,y,-z'
'x,-y,-z'
'-x,y,z'
'-x,y,-z'
'x,-y,z'
loop_
_atom_site_label
_atom_site_fract_x
_atom_site_fract_y
_atom_site_fract_z
Ca1 0.0000 0.0000 0.0000
La1 0.5000 0.0000 0.5000
Os1 0.0000 0.5000 0.5000
Os2 0.5000 0.5000 0.0000
```


Entry 8:
DFT (PBE) results for an optimized crystal structure of CaLa2Os.

## Properties
Its total energy is -5.2753 eV/atom. The value obtained for the total magnetization is 0.0 Bohr magnetons per cell.

Geometry as CIF:
```
data_CaLa2Os
_chemical_formula_sum 'Ca2 La4 Os2'
_cell_length_a 6.6725
_cell_length_b 10.0095
_cell_length_c 3.3992
_cell_angle_alpha 90.00
_cell_angle_beta 112.60
_cell_angle_gamma 90.00
_symmetry_space_group_name_H-M 'C 1 2/m 1'
_symmetry_Int_Tables_number 12
loop_
_symmetry_equiv_pos_as_xyz
'x,y,z'
'-x,-y,-z'
'-x,y,-z'
'x,-y,z'
'x+1/2,y+1/2,z'
'-x+1/2,-y+1/2,-z'
'-x+1/2,y+1/2,-z'
'x+1/2,-y+1/2,z'
loop_
_atom_site_label
_atom_site_fract_x
_atom_site_fract_y
_atom_site_fract_z
Ca1 0.0000 0.0000 0.0000
La1 0.2500 0.2500 0.5000
Os1 0.0000 0.5000 0.0000
```


Entry 9:
DFT (PBE) results for an optimized crystal structure of CaLaOs2.

## Properties
Its total energy is -7.0484 eV/atom. The value obtained for the total magnetization is 0.0 Bohr magnetons per cell.

Geometry as CIF:
```
data_CaLaOs2
_chemical_formula_sum 'Ca1 La1 Os2'
_cell_length_a 3.0460
_cell_length_b 3.0460
_cell_length_c 9.6689
_cell_angle_alpha 90.00
_cell_angle_beta 90.00
_cell_angle_gamma 90.00
_symmetry_space_group_name_H-M 'P 4 m m'
_symmetry_Int_Tables_number 99
loop_
_symmetry_equiv_pos_as_xyz
'x,y,z'
'-y,x,z'
'-x,-y,z'
'y,-x,z'
'-x,y,z'
'y,x,z'
'x,-y,z'
'-y,-x,z'
loop_
_atom_site_label
_atom_site_fract_x
_atom_site_fract_y
_atom_site_fract_z
Ca1 0.0000 0.0000 0.0000
La1 0.5000 0.5000 0.3737
Os1 0.0000 0.0000 0.6181
Os2 0.5000 0.5000 0.7701
```


Entry 10:
DFT (PBE) results for an optimized crystal structure of CaLa2Os.

## Properties
Its total energy is -5.8037 eV/atom. The value obtained for the total magnetization is 0.0 Bohr magnetons per cell.

Geometry as CIF:
```
data_CaLa2Os
_chemical_formula_sum 'Ca3 La6 Os3'
_cell_length_a 4.1940
_cell_length_b 4.1940
_cell_length_c 29.0595
_cell_angle_alpha 90.00
_cell_angle_beta 90.00
_cell_angle_gamma 120.00
_symmetry_space_group_name_H-M 'R -3 m'
_symmetry_Int_Tables_number 166
_symmetry_space_group_name_Hall '-R 3 2"'
loop_
_atom_site_label
_atom_site_fract_x
_atom_site_fract_y
_atom_site_fract_z
Ca1 0.0000 0.0000 0.0000
La1 0.0000 0.0000 0.2183
Os1 0.0000 0.0000 0.5000
```


Entry 11:
DFT (PBE) results for an optimized crystal structure of CaLa3Os.

## Properties
Its total energy is -5.6939 eV/atom. The value obtained for the total magnetization is 0.0 Bohr magnetons per cell.

Geometry as CIF:
```
data_CaLa3Os
_chemical_formula_sum 'Ca2 La6 Os2'
_cell_length_a 6.9007
_cell_length_b 7.6890
_cell_length_c 7.9657
_cell_angle_alpha 74.35
_cell_angle_beta 89.07
_cell_angle_gamma 63.88
_symmetry_space_group_name_H-M 'P 1'
_symmetry_Int_Tables_number 1
loop_
_symmetry_equiv_pos_as_xyz
'x,y,z'
loop_
_atom_site_label
_atom_site_fract_x
_atom_site_fract_y
_atom_site_fract_z
Ca1 0.0000 0.0000 0.0000
Ca2 0.0794 0.5064 0.8737
La1 0.0093 0.9991 0.4987
La2 0.0875 0.5028 0.3769
La3 0.5042 0.0059 0.2379
La4 0.5146 0.9931 0.7595
La5 0.5839 0.5034 0.6283
La6 0.5847 0.4984 0.1338
Os1 0.5499 0.2457 0.4343
Os2 0.7796 0.7688 0.5520
```


Entry 12:
DFT (PBE) results for an optimized crystal structure of CaLaOs2.

## Properties
Its total energy is -6.6552 eV/atom. The value obtained for the total magnetization is 0.0 Bohr magnetons per cell.

Geometry as CIF:
```
data_CaLaOs2
_chemical_formula_sum 'Ca2 La2 Os4'
_cell_length_a 4.1857
_cell_length_b 4.1857
_cell_length_c 9.4961
_cell_angle_alpha 90.00
_cell_angle_beta 90.00
_cell_angle_gamma 90.00
_symmetry_space_group_name_H-M 'I -4 m 2'
_symmetry_Int_Tables_number 119
_symmetry_space_group_name_Hall 'I -4 -2'
loop_
_atom_site_label
_atom_site_fract_x
_atom_site_fract_y
_atom_site_fract_z
Ca1 0.0000 0.0000 0.0000
La1 0.0000 0.5000 0.7500
Os1 0.0000 0.0000 0.5000
Os2 0.0000 0.5000 0.2500
```


Entry 13:
DFT (PBE) results for an optimized crystal structure of CaLa2Os.

## Properties
Its total energy is -5.7873 eV/atom. The value obtained for the total magnetization is 0.0 Bohr magnetons per cell.

Geometry as CIF:
```
data_CaLa2Os
_chemical_formula_sum 'Ca1 La2 Os1'
_cell_length_a 3.5563
_cell_length_b 3.5563
_cell_length_c 10.2910
_cell_angle_alpha 90.00
_cell_angle_beta 90.00
_cell_angle_gamma 90.00
_symmetry_space_group_name_H-M 'P 4/m m m'
_symmetry_Int_Tables_number 123
_symmetry_space_group_name_Hall '-P 4 2'
loop_
_atom_site_label
_atom_site_fract_x
_atom_site_fract_y
_atom_site_fract_z
Ca1 0.0000 0.0000 0.0000
La1 0.5000 0.5000 0.3320
Os1 0.0000 0.0000 0.5000
```


Entry 14:
DFT (PBE) results for an optimized crystal structure of CaLaOs2.

## Properties
Its total energy is -7.0047 eV/atom. The value obtained for the total magnetization is 0.8 Bohr magnetons per cell.

Geometry as CIF:
```
data_CaLaOs2
_chemical_formula_sum 'Ca2 La2 Os4'
_cell_length_a 3.1856
_cell_length_b 5.1126
_cell_length_c 10.7780
_cell_angle_alpha 90.00
_cell_angle_beta 90.00
_cell_angle_gamma 90.00
_symmetry_space_group_name_H-M 'I m m 2'
_symmetry_Int_Tables_number 44
loop_
_symmetry_equiv_pos_as_xyz
'x,y,z'
'-x,-y,z'
'-x,y,z'
'x,-y,z'
'x+1/2,y+1/2,z+1/2'
'-x+1/2,-y+1/2,z+1/2'
'-x+1/2,y+1/2,z+1/2'
'x+1/2,-y+1/2,z+1/2'
loop_
_atom_site_label
_atom_site_fract_x
_atom_site_fract_y
_atom_site_fract_z
Ca1 0.0000 0.0000 0.0000
La1 0.0000 0.5000 0.7916
Os1 0.0000 0.0000 0.5512
Os2 0.0000 0.5000 0.2354
```


| no. | E_form (eV per atom) |
| --- | --- |
| 1 | -0.07 |
| 2 | -0.09 |
| 3 | 0.84 |
| 4 | 0.60 |
| 5 | 0.63 |
| 6 | 0.05 |
| 7 | 0.66 |
| 8 | 0.50 |
| 9 | 0.30 |
| 10 | -0.03 |
| 11 | -0.09 |
| 12 | 0.69 |
| 13 | -0.02 |
| 14 | 0.34 |